Entry 1:
Density functional theory data (GGA-PBE) for a geometry-optimized BaCuPdO structure.

The uncorrected energy is -20.81 eV/f.u. The raw formation energy comes out at -1.16 eV/atom.

The structure belongs to space group P4/nmm (No. 129, origin choice 2); the cell edges are 4.0084, 4.0084 and 9.3994 Å and the angles 90.00°, 90.00° and 90.00°. The asymmetric unit holds Ba at (0.2500, 0.2500, 0.1562), Cu at (0.2500, 0.2500, 0.6714), Pd at (0.2500, 0.7500, 0.5000) and O at (0.2500, 0.2500, 0.8739).

=====

Entry 2:
Density functional theory data (GGA-PBE) for a geometry-optimized SrRe2PbO8 structure.

The uncorrected energy is -90.30 eV/f.u. The raw formation energy comes out at -1.70 eV/atom.

The structure belongs to space group P-3 (No. 147); the cell edges are 6.1395, 6.1395 and 7.4258 Å and the angles 90.00°, 90.00° and 120.00°. The asymmetric unit holds Sr at (0.0000, 0.0000, 0.0000), Re at (0.3333, 0.6667, 0.3012), Pb at (0.0000, 0.0000, 0.5000), O at (0.1690, 0.3398, 0.2337) and O at (0.3333, 0.6667, 0.5393).

=====

Entry 3:
Density functional theory data (GGA-PBE) for a geometry-optimized Sm2AgHg8 structure.

For the formation energy, the calculation gives -2.8 eV per formula unit. The relative energy among the computed polymorphs comes out at 0.00 kcal/mol of atoms. The uncorrected energy is -17.46 eV/f.u.

The structure belongs to space group P4/mmm (No. 123); the cell edges are 4.6856, 4.6856 and 12.6745 Å and the angles 90.00°, 90.00° and 90.00°. The asymmetric unit holds Sm at (0.0000, 0.0000, 0.1923), Ag at (0.0000, 0.0000, 0.5000), Hg at (0.0000, 0.5000, 0.0000), Hg at (0.0000, 0.5000, 0.3640) and Hg at (0.5000, 0.5000, 0.1752).

=====

Entry 4:
Density functional theory data (GGA-PBE) for a geometry-optimized AcLa4Pm2Nd structure.

For the formation energy, the calculation gives 0.2 eV per formula unit. The uncorrected energy is -37.90 eV/f.u.

The structure belongs to space group C2/m (No. 12); the cell edges are 11.8282, 5.2800 and 10.6343 Å and the angles 90.00°, 116.78° and 90.00°. The asymmetric unit holds Ac at (0.0000, 0.0000, 0.0000), La at (0.2474, 0.0000, 0.8708), La at (0.2492, 0.5000, 0.6231), Pm at (0.0008, 0.5000, 0.7452) and Nd at (0.0000, 0.0000, 0.5000).

=====

Entry 5:
Density functional theory data (GGA-PBE) for a geometry-optimized Rb2BaReSb structure.

The relative energy among the computed polymorphs comes out at 8.61 kcal/mol of atoms. The uncorrected energy is -13.03 eV/f.u. The raw formation energy comes out at 1.48 eV/atom.

The structure belongs to space group P4/mmm (No. 123); the cell edges are 6.9261, 6.9261 and 5.2753 Å and the angles 90.00°, 90.00° and 90.00°. The asymmetric unit holds Rb at (0.0000, 0.5000, 0.0000), Ba at (0.0000, 0.0000, 0.0000), Re at (0.0000, 0.0000, 0.5000) and Sb at (0.5000, 0.5000, 0.5000).

=====

Entry 6:
Density functional theory data (GGA-PBE) for a geometry-optimized Rb2In3 structure.

For the formation energy, the calculation gives -0.4 eV per formula unit. The uncorrected energy is -10.56 eV/f.u.

The structure belongs to space group C2/c (No. 15); the cell edges are 12.5008, 8.2981 and 8.5142 Å and the angles 90.00°, 108.79° and 90.00°. The asymmetric unit holds Rb at (0.1782, 0.0575, 0.1629), In at (0.0000, 0.3170, 0.7500) and In at (0.0657, 0.3592, 0.4411).

=====

Entry 7:
Density functional theory data (GGA-PBE) for a geometry-optimized LaThMg2 structure.

For the formation energy, the calculation gives 0.0 eV per formula unit. The relative energy among the computed polymorphs comes out at 0.41 kcal/mol of atoms. The uncorrected energy is -15.51 eV/f.u.

The structure belongs to space group Fm-3m (No. 225); the cell edges are 7.7808, 7.7808 and 7.7808 Å and the angles 90.00°, 90.00° and 90.00°. The asymmetric unit holds La at (0.0000, 0.0000, 0.0000), Th at (0.0000, 0.0000, 0.5000) and Mg at (0.2500, 0.2500, 0.2500).

=====

Entry 8:
Density functional theory data (GGA-PBE) for a geometry-optimized ZrTiZn5 structure.

For the formation energy, the calculation gives 0.3 eV per formula unit. The uncorrected energy is -22.50 eV/f.u.

The structure belongs to space group P4/mmm (No. 123); the cell edges are 4.4324, 4.4324 and 6.1691 Å and the angles 90.00°, 90.00° and 90.00°. The asymmetric unit holds Zr at (0.0000, 0.0000, 0.0000), Ti at (0.5000, 0.5000, 0.5000), Zn at (0.0000, 0.5000, 0.2788) and Zn at (0.5000, 0.5000, 0.0000).

=====

Entry 9:
Density functional theory data (GGA-PBE) for a geometry-optimized KNi4Ru structure.

For the formation energy, the calculation gives 4.2 eV per formula unit. The uncorrected energy is -29.32 eV/f.u.

The structure belongs to space group F-43m (No. 216); the cell edges are 6.9948, 6.9948 and 6.9948 Å and the angles 90.00°, 90.00° and 90.00°. The asymmetric unit holds K at (0.0000, 0.0000, 0.0000), Ni at (0.1242, 0.1242, 0.6242) and Ru at (0.2500, 0.2500, 0.2500).

=====

Entry 10:
Density functional theory data (GGA-PBE) for a geometry-optimized Cd2AuBr structure.

The relative energy among the computed polymorphs comes out at 6.95 kcal/mol of atoms. The uncorrected energy is -6.59 eV/f.u. The raw formation energy comes out at 0.05 eV/atom.

The structure belongs to space group I4/mmm (No. 139); the cell edges are 4.7890, 4.7890 and 8.1290 Å and the angles 90.00°, 90.00° and 90.00°. The asymmetric unit holds Cd at (0.0000, 0.5000, 0.2500), Au at (0.0000, 0.0000, 0.0000) and Br at (0.0000, 0.0000, 0.5000).

=====

Entry 11:
Density functional theory data (GGA-PBE) for a geometry-optimized AcTbTlIr structure.

For the formation energy, the calculation gives -1.2 eV per formula unit. The uncorrected energy is -21.19 eV/f.u.

The structure belongs to space group F-43m (No. 216); the cell edges are 7.5589, 7.5589 and 7.5589 Å and the angles 90.00°, 90.00° and 90.00°. The asymmetric unit holds Ac at (0.0000, 0.0000, 0.0000), Tb at (0.0000, 0.0000, 0.5000), Tl at (0.2500, 0.2500, 0.2500) and Ir at (0.2500, 0.2500, 0.7500).

=====

Entry 12:
Density functional theory data (GGA-PBE) for a geometry-optimized Li2PtW structure.

For the formation energy, the calculation gives -0.2 eV per formula unit. The relative energy among the computed polymorphs comes out at 0.10 kcal/mol of atoms. The uncorrected energy is -23.00 eV/f.u.

The structure belongs to space group F-43m (No. 216); the cell edges are 6.0523, 6.0523 and 6.0523 Å and the angles 90.00°, 90.00° and 90.00°. The asymmetric unit holds Li at (0.0000, 0.0000, 0.0000), Li at (0.2500, 0.2500, 0.2500), Pt at (0.2500, 0.2500, 0.7500) and W at (0.0000, 0.0000, 0.5000).